A relaxed structure of RbBiAu4. Source: Alexandria via LeMat-Bulk, functional PBE.

```
data_RbBiAu4
_chemical_formula_sum 'Rb4 Bi4 Au16'
_symmetry_space_group_name_H-M 'F -4 3 m'
_symmetry_Int_Tables_number 216
_symmetry_space_group_name_Hall 'F -4 2 3'
_cell_length_a 8.237
_cell_length_b 8.237
_cell_length_c 8.237
_cell_angle_alpha 90.00
_cell_angle_beta 90.00
_cell_angle_gamma 90.00
loop_
_atom_site_label
_atom_site_fract_x
_atom_site_fract_y
_atom_site_fract_z
Rb1 0.000 0.000 0.000
Bi1 0.250 0.250 0.750
Au1 0.125 0.125 0.375
```

Results
Energy relative to the elements = -0.06 eV/atom
Uncorrected energy = -73.39 eV for the cell shown